PBE with a Hubbard U Ga2NiF, relaxed; energy = -2.851 eV per atom; density of states at the Fermi level = 0.34 states/eV/atom; calculated density = 4.89 g/cm³; relative energy among the computed polymorphs = 0 meV per atom; calculated volume = 18.42 A^3/atom
1.0
5.476 0.000 0.000
0.000 5.476 0.000
2.738 2.738 4.913
Ni Ga F
2 4 2
Cartesian
0.000 0.000 0.000
5.476 2.738 2.457
4.143 1.369 1.228
1.333 4.107 1.228
4.107 4.071 3.685
6.845 6.881 3.685
2.738 2.738 0.000
2.738 5.476 2.457